TbEr3Tm6Th2: relaxed, PBE. Values from VASP.

Quantum ESPRESSO input file:
```
&SYSTEM
  ibrav = 0, nat = 12, ntyp = 4
/
ATOMIC_SPECIES
Tb 158.93 Tb.upf
Er 167.26 Er.upf
Tm 168.93 Tm.upf
Th 232.04 Th.upf
ATOMIC_POSITIONS angstrom
Tb 0.0000 0.0000 0.0000
Er -2.0280 3.5358 5.7109
Er 4.0761 0.0105 5.7109
Er 1.0241 1.7732 5.7109
Tm 3.0702 1.7579 8.5748
Tm 2.0279 3.5113 2.8416
Tm -1.0221 1.7884 2.8469
Tm -0.0117 3.5378 8.5748
Tm 0.0202 0.0350 8.5801
Tm 2.0599 0.0085 2.8469
Th 0.0013 3.5240 -0.0070
Th 3.0517 1.7623 -0.0070
CELL_PARAMETERS angstrom
6.0998 0.0019 -0.0070
-3.0468 5.2844 -0.0070
-1.0049 -1.7400 11.4357
```

Magnetization: 0.0 μB per formula unit
Formation enthalpy at 0 K: 0.3 eV per formula unit
Volume: 369 Å³/cell